GaCoAsO6 after structural relaxation. Source: Alexandria via LeMat-Bulk, functional PBE with a Hubbard U.

Unit cell a=4.981 b=4.981 c=8.542 alpha=90.00 beta=90.00 gamma=120.00
Element x y z (fractional)
1 Ga 0.333 0.667 0.250
2 Ga 0.667 0.333 0.750
3 Co 0.000 0.000 0.000
4 Co 0.000 0.000 0.500
5 As 0.333 0.667 0.750
6 As 0.667 0.333 0.250
7 O 0.020 0.354 0.631
8 O 0.020 0.666 0.869
9 O 0.334 0.354 0.869
10 O 0.334 0.980 0.631
11 O 0.354 0.020 0.131
12 O 0.354 0.334 0.369
13 O 0.646 0.666 0.631
14 O 0.646 0.980 0.869
15 O 0.666 0.020 0.369
16 O 0.666 0.646 0.131
17 O 0.980 0.334 0.131
18 O 0.980 0.646 0.369

Calculated values
Calculated volume: 10.197 Å³ per atom
Total DFT energy (no corrections): -103.97 eV for the cell shown
Space group: P-31c (163)
Crystal system: trigonal